Record 1
Ho5Ge3 after structural relaxation. Source: Alexandria via LeMat-Bulk, functional GGA-PBE.

The structure in POSCAR format:
```
Ho5Ge3
1.0
-3.855 3.855 6.632
3.855 -3.855 6.632
3.855 3.855 -6.632
Ho Ge
10 6
Direct
0.000 0.000 0.000
0.015 0.515 0.822
0.193 0.015 0.500
0.307 0.807 0.822
0.485 0.307 0.500
0.500 0.500 0.000
0.515 0.693 0.500
0.693 0.193 0.178
0.807 0.985 0.500
0.985 0.485 0.178
0.141 0.359 0.500
0.250 0.250 0.000
0.359 0.859 0.217
0.641 0.141 0.783
0.750 0.750 0.000
0.859 0.641 0.500
```

Energy relative to the lowest polymorph listed for this composition, eV/atom: 0.0742
Energy of formation, eV/atom: -0.73
Space group: I4/mcm
Crystal system: tetragonal

Record 2
Ho3Ge5 after structural relaxation. Source: Alexandria via LeMat-Bulk, functional GGA-PBE.

The structure in POSCAR format:
```
Ho3Ge5
1.0
0.000 8.668 6.857
2.876 0.000 6.857
2.876 8.668 0.000
Ho Ge
6 10
Direct
0.000 0.000 0.000
0.250 0.250 0.250
0.356 0.661 0.309
0.575 0.941 0.589
0.661 0.356 0.675
0.941 0.575 0.894
0.025 0.782 0.349
0.173 0.501 0.002
0.248 0.926 0.077
0.406 0.901 0.468
0.448 0.448 0.552
0.501 0.173 0.324
0.698 0.698 0.802
0.782 0.025 0.844
0.901 0.406 0.225
0.926 0.248 0.749
```

Energy of formation, eV/atom: -0.70
Space group: Fdd2
Crystal system: orthorhombic

Number 1: theoretical density 8.8 g cm⁻³. Number 2: theoretical density 8.3 g cm⁻³.